No. 1
## LiP2SeS (PBE)

Data for crystalline LiP2SeS at its relaxed geometry.

## Properties
SG: P4/mmm
Electronic total energy in eV per cell: -16.82
Energy relative to the elements, uncorrected in meV per atom: 706

Cell and atoms, written as POSCAR:
```
LiP2SeS
1.0
4.8431 0.0000 0.0000
0.0000 4.8431 0.0000
0.0000 0.0000 4.9232
Li P Se S
1 2 1 1
direct
0.0000 0.0000 0.0000 Li
0.0000 0.5000 0.5000 P
0.5000 0.0000 0.5000 P
0.5000 0.5000 0.5000 Se
0.5000 0.5000 0.0000 S
```


No. 2
## LiP2SeS (PBE)

Data for crystalline LiP2SeS at its relaxed geometry.

## Properties
SG: P4/mmm
Electronic total energy in eV per cell: -16.16
Energy relative to the elements, uncorrected in meV per atom: 837

Cell and atoms, written as POSCAR:
```
LiP2SeS
1.0
4.6696 0.0000 0.0000
0.0000 4.6696 0.0000
0.0000 0.0000 4.0028
Li P Se S
1 2 1 1
direct
0.0000 0.0000 0.0000 Li
0.0000 0.5000 0.0000 P
0.5000 0.0000 0.0000 P
0.5000 0.5000 0.5000 Se
0.0000 0.0000 0.5000 S
```